No. 1
This record from Alexandria via LeMat-Bulk describes CrAs2Rh after structural relaxation. The functional is PBE-GGA.

## Properties
* DOS(E_F): 2.9 states/eV/cell
* space-group type: No. 44
* ΔE_f: -0.159 eV/atom
* theoretical density: 8.04 Mg/m³

extended XYZ file:
```
4
Lattice="-1.705 1.749 5.275 1.705 -1.749 5.275 1.705 1.749 -5.275" Properties=species:S:1:pos:R:3 pbc="T T T"
Cr 0.000 0.000 0.000
As 0.000 0.000 5.991
As 0.000 1.749 3.408
Rh 1.705 0.000 2.543
```


No. 2
This record from Alexandria via LeMat-Bulk describes PuAgIF4 after structural relaxation. The functional is PBE-GGA.

## Properties
* DOS(E_F): 14.0 states/eV/cell
* space-group type: No. 12
* theoretical density: 5.36 Mg/m³
* energy relative to the elements, uncorrected: -2373 meV/atom

extended XYZ file:
```
14
Lattice="5.583 -4.393 0.000 5.583 4.393 0.000 -0.018 0.000 7.002" Properties=species:S:1:pos:R:3 pbc="T T T"
Pu 0.808 0.000 1.758
Pu 10.340 0.000 5.244
Ag 4.419 0.000 6.167
Ag 6.729 0.000 0.835
I 3.980 0.000 1.896
I 7.168 0.000 5.106
F 1.149 0.000 3.961
F 1.147 0.000 6.551
F 4.579 2.314 5.265
F 6.570 2.314 1.737
F 4.579 -2.314 5.265
F 6.570 -2.314 1.737
F 10.002 0.000 0.451
F 9.999 0.000 3.040
```


No. 3
This record from Alexandria via LeMat-Bulk describes Ag5PtCl12 after structural relaxation. The functional is PBE-GGA.

## Properties
* DOS(E_F): 10.0 states/eV/cell
* space-group type: No. 2
* theoretical density: 3.92 Mg/m³
* energy relative to the elements, uncorrected: -391 meV/atom

extended XYZ file:
```
18
Lattice="6.617 0.000 0.000 2.706 6.038 0.000 0.236 2.473 12.296" Properties=species:S:1:pos:R:3 pbc="T T T"
Ag 0.000 0.000 0.000
Ag 3.109 2.013 0.013
Ag 4.677 6.338 6.141
Ag 4.882 2.174 6.155
Ag 6.450 6.499 12.283
Pt 1.471 4.256 6.148
Cl 2.332 5.965 7.508
Cl 1.357 4.156 10.849
Cl 3.385 4.340 4.790
Cl 2.533 2.616 7.465
Cl 1.992 0.326 1.478
Cl 4.458 6.163 10.825
Cl 5.101 2.349 1.471
Cl 7.567 8.186 10.818
Cl 7.026 5.896 4.831
Cl 6.174 4.172 7.506
Cl 8.202 4.356 1.447
Cl 7.227 2.547 4.788
```


No. 4
This record from Alexandria via LeMat-Bulk describes Ir2Ru2Pt after structural relaxation. The functional is PBE-GGA.

## Properties
* DOS(E_F): 14.1 states/eV/cell
* space-group type: No. 127
* ΔE_f: 0.297 eV/atom
* theoretical density: 16.95 Mg/m³
* distance to the lowest polymorph of the same formula: 0.72 eV/f.u.

extended XYZ file:
```
10
Lattice="7.475 0.000 0.000 0.000 7.475 0.000 0.000 0.000 2.740" Properties=species:S:1:pos:R:3 pbc="T T T"
Ir 1.280 2.458 0.000
Ir 2.458 6.196 0.000
Ir 5.018 1.280 0.000
Ir 6.196 5.018 0.000
Ru 0.919 4.657 1.370
Ru 2.819 0.919 1.370
Ru 4.657 6.556 1.370
Ru 6.556 2.819 1.370
Pt 0.000 0.000 1.370
Pt 3.738 3.738 1.370
```


No. 5
This record from Alexandria via LeMat-Bulk describes Ba4LaMg after structural relaxation. The functional is PBE-GGA.

## Properties
* DOS(E_F): 13.0 states/eV/cell
* space-group type: No. 216
* ΔE_f: 0.433 eV/atom
* theoretical density: 3.83 Mg/m³

extended XYZ file:
```
6
Lattice="0.000 5.367 5.367 5.367 0.000 5.367 5.367 5.367 0.000" Properties=species:S:1:pos:R:3 pbc="T T T"
Ba 1.342 1.342 1.342
Ba 4.025 4.025 1.342
Ba 4.025 1.342 4.025
Ba 1.342 4.025 4.025
La 8.050 8.050 8.050
Mg 5.367 5.367 5.367
```


No. 6
This record from Alexandria via LeMat-Bulk describes Zn2FeSb after structural relaxation. The functional is PBE-GGA.

## Properties
* DOS(E_F): 4.2 states/eV/cell
* space-group type: No. 47
* theoretical density: 7.69 Mg/m³
* energy relative to the elements, uncorrected: 283 meV/atom

extended XYZ file:
```
4
Lattice="3.909 0.000 0.000 0.000 4.067 0.000 0.000 0.000 4.190" Properties=species:S:1:pos:R:3 pbc="T T T"
Zn 0.000 0.000 0.000
Zn 1.954 2.033 0.000
Fe 0.000 2.033 2.095
Sb 1.954 0.000 2.095
```


No. 7
This record from Alexandria via LeMat-Bulk describes NdDy3Tl4Te8 after structural relaxation. The functional is PBE-GGA.

## Properties
* space-group type: No. 166
* theoretical density: 7.20 Mg/m³
* energy relative to the elements, uncorrected: -1057 meV/atom

extended XYZ file:
```
16
Lattice="4.481 2.587 8.184 -4.481 2.587 8.184 0.000 -5.175 8.184" Properties=species:S:1:pos:R:3 pbc="T T T"
Nd 0.000 0.000 0.000
Dy -2.241 -1.294 8.184
Dy -2.241 1.294 16.368
Dy 0.000 2.587 8.184
Tl -4.481 0.000 12.276
Tl -2.241 1.294 4.092
Tl 2.241 1.294 4.092
Tl 0.000 0.000 12.276
Te 0.000 -2.534 9.952
Te -2.195 1.267 9.952
Te 0.000 0.000 6.447
Te -2.195 -1.267 14.600
Te 2.195 1.267 9.952
Te 0.000 0.000 18.105
Te 2.195 -1.267 14.600
Te 0.000 2.534 14.600
```


No. 8
This record from Alexandria via LeMat-Bulk describes La4Pr3Er after structural relaxation. The functional is PBE-GGA.

## Properties
* DOS(E_F): 23.8 states/eV/cell
* space-group type: No. 31
* ΔE_f: 0.008 eV/atom
* theoretical density: 6.67 Mg/m³
* distance to the lowest polymorph of the same formula: 0.00 eV/f.u.

extended XYZ file:
```
16
Lattice="10.487 0.000 0.000 0.000 7.379 0.000 0.000 0.000 7.375" Properties=species:S:1:pos:R:3 pbc="T T T"
La 0.000 1.831 0.000
La 0.000 5.537 7.368
La 2.625 0.001 1.838
La 2.618 7.378 5.526
La 5.243 1.842 3.681
La 5.243 5.548 3.687
La 7.862 0.001 1.838
La 7.869 7.378 5.526
Pr 0.000 5.532 3.676
Pr 2.625 3.690 1.839
Pr 2.619 3.689 5.526
Pr 5.243 1.848 7.363
Pr 7.862 3.690 1.839
Pr 7.868 3.689 5.526
Er 0.000 1.853 3.683
Er 5.243 5.526 7.371
```